# 1
First-principles (GGA-PBE) data for a relaxed structure of Rb2In2Pb, as listed in Alexandria via LeMat-Bulk.

abc: 8.128 8.128 6.196
angles: 90.00 90.00 90.00
Sites, in units of the cell vectors:
Rb1 0.182 0.318 0.000
Rb2 0.318 0.818 0.000
Rb3 0.682 0.182 0.000
Rb4 0.818 0.682 0.000
In1 0.129 0.629 0.500
In2 0.371 0.129 0.500
In3 0.629 0.871 0.500
In4 0.871 0.371 0.500
Pb1 0.000 0.000 0.500
Pb2 0.500 0.500 0.500

space-group type	P4/mbm, No. 127
energy relative to the elements	-0.0415	eV/atom
raw total energy	-2.266	eV/atom
crystal system	tetragonal



# 2
First-principles (GGA-PBE) data for a relaxed structure of Rb2In2Pb, as listed in Alexandria via LeMat-Bulk.

abc: 4.930 4.930 16.438
angles: 90.00 90.00 90.00
Sites, in units of the cell vectors:
Rb1 0.000 0.500 0.250
Rb2 0.000 0.500 0.750
Rb3 0.500 0.000 0.250
Rb4 0.500 0.000 0.750
In1 0.000 0.000 0.086
In2 0.000 0.000 0.914
In3 0.500 0.500 0.414
In4 0.500 0.500 0.586
Pb1 0.000 0.000 0.500
Pb2 0.500 0.500 0.000

space-group type	I4/mmm, No. 139
energy relative to the elements	0.2282	eV/atom
raw total energy	-1.996	eV/atom
crystal system	tetragonal



# 3
First-principles (GGA-PBE) data for a relaxed structure of Rb5InPb6, as listed in Alexandria via LeMat-Bulk.

abc: 8.007 8.007 10.537
angles: 96.48 96.48 119.16
Sites, in units of the cell vectors:
Rb1 0.000 0.000 0.000
Rb2 0.164 0.836 0.500
Rb3 0.299 0.701 0.000
Rb4 0.701 0.299 0.000
Rb5 0.836 0.164 0.500
In1 0.500 0.500 0.500
Pb1 0.194 0.424 0.270
Pb2 0.357 0.357 0.744
Pb3 0.424 0.194 0.270
Pb4 0.576 0.806 0.730
Pb5 0.643 0.643 0.256
Pb6 0.806 0.576 0.730

space-group type	C2/m, No. 12
energy relative to the elements	-0.0473	eV/atom
raw total energy	-2.533	eV/atom
crystal system	monoclinic



# 4
First-principles (GGA-PBE) data for a relaxed structure of RbIn6Pb12, as listed in Alexandria via LeMat-Bulk.

abc: 9.341 9.341 9.341
angles: 110.91 110.91 110.91
Sites, in units of the cell vectors:
Rb1 0.000 0.000 0.000
In1 0.046 0.566 0.356
In2 0.356 0.046 0.566
In3 0.434 0.644 0.954
In4 0.566 0.356 0.046
In5 0.644 0.954 0.434
In6 0.954 0.434 0.644
Pb1 0.111 0.164 0.730
Pb2 0.164 0.730 0.111
Pb3 0.208 0.332 0.497
Pb4 0.270 0.889 0.836
Pb5 0.332 0.497 0.208
Pb6 0.497 0.208 0.332
Pb7 0.503 0.792 0.668
Pb8 0.668 0.503 0.792
Pb9 0.730 0.111 0.164
Pb10 0.792 0.668 0.503
Pb11 0.836 0.270 0.889
Pb12 0.889 0.836 0.270

space-group type	R-3, No. 148
energy relative to the elements	0.0118	eV/atom
raw total energy	-3.246	eV/atom
crystal system	trigonal



# 5
First-principles (GGA-PBE) data for a relaxed structure of RbIn4Pb2, as listed in Alexandria via LeMat-Bulk.

abc: 6.201 6.201 16.213
angles: 90.00 90.00 90.00
Sites, in units of the cell vectors:
Rb1 0.000 0.000 0.000
Rb2 0.500 0.500 0.500
In1 0.000 0.000 0.216
In2 0.000 0.000 0.784
In3 0.000 0.500 0.000
In4 0.000 0.500 0.500
In5 0.500 0.000 0.000
In6 0.500 0.000 0.500
In7 0.500 0.500 0.284
In8 0.500 0.500 0.716
Pb1 0.000 0.000 0.404
Pb2 0.000 0.000 0.596
Pb3 0.500 0.500 0.096
Pb4 0.500 0.500 0.904

space-group type	I4/mmm, No. 139
energy relative to the elements	0.5354	eV/atom
raw total energy	-2.227	eV/atom
crystal system	tetragonal



# 6
First-principles (GGA-PBE) data for a relaxed structure of RbIn2RhPb, as listed in Alexandria via LeMat-Bulk.

abc: 5.275 5.275 5.453
angles: 90.00 90.00 90.00
Sites, in units of the cell vectors:
Rb1 0.000 0.000 0.000
In1 0.000 0.500 0.500
In2 0.500 0.000 0.500
Rh1 0.500 0.500 0.500
Pb1 0.500 0.500 0.000

space-group type	P4/mmm, No. 123
energy relative to the elements	-0.0955	eV/atom
raw total energy	-3.596	eV/atom
crystal system	tetragonal



# 7
First-principles (GGA-PBE) data for a relaxed structure of RbIn2RuPb, as listed in Alexandria via LeMat-Bulk.

abc: 5.288 5.288 5.349
angles: 90.00 90.00 90.00
Sites, in units of the cell vectors:
Rb1 0.000 0.000 0.000
In1 0.000 0.500 0.500
In2 0.500 0.000 0.500
Ru1 0.500 0.500 0.500
Pb1 0.500 0.500 0.000

space-group type	P4/mmm, No. 123
energy relative to the elements	0.0113	eV/atom
raw total energy	-3.874	eV/atom
crystal system	tetragonal



# 8
First-principles (GGA-PBE) data for a relaxed structure of RbInPb2S4, as listed in Alexandria via LeMat-Bulk.

abc: 8.562 8.562 8.562
angles: 121.23 119.64 89.26
Sites, in units of the cell vectors:
Rb1 0.500 0.000 0.000
Rb2 0.500 0.500 0.500
In1 0.000 0.000 0.000
In2 0.500 0.000 0.500
Pb1 0.000 0.000 0.500
Pb2 0.000 0.500 0.000
Pb3 0.000 0.500 0.500
Pb4 0.500 0.500 0.000
S1 0.188 0.205 0.983
S2 0.242 0.245 0.503
S3 0.242 0.739 0.997
S4 0.279 0.795 0.483
S5 0.721 0.205 0.517
S6 0.758 0.261 0.003
S7 0.758 0.755 0.497
S8 0.812 0.795 0.017

uncorrected formation energy	-0.541	eV per atom
space-group type	Imma, No. 74
raw total energy	-3.995	eV/atom
crystal system	orthorhombic



# 9
First-principles (GGA-PBE) data for a relaxed structure of RbIn2SbPb, as listed in Alexandria via LeMat-Bulk.

abc: 5.808 5.808 6.717
angles: 90.00 90.00 90.00
Sites, in units of the cell vectors:
Rb1 0.000 0.000 0.000
In1 0.000 0.500 0.500
In2 0.500 0.000 0.500
Sb1 0.500 0.500 0.000
Pb1 0.000 0.000 0.500

uncorrected formation energy	0.492	eV per atom
space-group type	P4/mmm, No. 123
raw total energy	-2.363	eV/atom
crystal system	tetragonal



# 10
First-principles (GGA-PBE) data for a relaxed structure of RbInPb2Se4, as listed in Alexandria via LeMat-Bulk.

abc: 8.844 8.844 8.844
angles: 120.87 119.13 90.00
Sites, in units of the cell vectors:
Rb1 0.500 0.000 0.000
Rb2 0.500 0.500 0.500
In1 0.000 0.000 0.000
In2 0.500 0.000 0.500
Pb1 0.000 0.000 0.500
Pb2 0.000 0.500 0.000
Pb3 0.000 0.500 0.500
Pb4 0.500 0.500 0.000
Se1 0.197 0.214 0.983
Se2 0.242 0.243 0.501
Se3 0.242 0.741 0.999
Se4 0.269 0.786 0.483
Se5 0.731 0.214 0.517
Se6 0.758 0.259 0.001
Se7 0.758 0.757 0.499
Se8 0.803 0.786 0.017

uncorrected formation energy	-0.554	eV per atom
space-group type	Imma, No. 74
raw total energy	-3.687	eV/atom
crystal system	orthorhombic



# 11
First-principles (GGA-PBE) data for a relaxed structure of Rb2InPbSe, as listed in Alexandria via LeMat-Bulk.

abc: 7.198 7.198 5.326
angles: 90.00 90.00 90.00
Sites, in units of the cell vectors:
Rb1 0.000 0.500 0.000
Rb2 0.500 0.000 0.000
In1 0.000 0.000 0.000
Pb1 0.500 0.500 0.500
Se1 0.000 0.000 0.500

uncorrected formation energy	0.109	eV per atom
space-group type	P4/mmm, No. 123
raw total energy	-2.265	eV/atom
crystal system	tetragonal



# 12
First-principles (GGA-PBE) data for a relaxed structure of Rb2InPbSe4, as listed in Alexandria via LeMat-Bulk.

abc: 8.503 8.503 7.311
angles: 90.00 90.00 90.00
Sites, in units of the cell vectors:
Rb1 0.000 0.500 0.000
Rb2 0.000 0.500 0.500
Rb3 0.500 0.000 0.000
Rb4 0.500 0.000 0.500
In1 0.000 0.000 0.000
In2 0.500 0.500 0.500
Pb1 0.000 0.000 0.500
Pb2 0.500 0.500 0.000
Se1 0.172 0.172 0.771
Se2 0.172 0.828 0.229
Se3 0.328 0.328 0.271
Se4 0.328 0.672 0.729
Se5 0.672 0.328 0.729
Se6 0.672 0.672 0.271
Se7 0.828 0.172 0.229
Se8 0.828 0.828 0.771

uncorrected formation energy	-0.761	eV per atom
space-group type	I-42m, No. 121
raw total energy	-3.551	eV/atom
crystal system	tetragonal



# 13
First-principles (GGA-PBE) data for a relaxed structure of Rb2In3Sn4Pb, as listed in Alexandria via LeMat-Bulk.

abc: 5.349 5.349 11.858
angles: 90.00 90.00 90.00
Sites, in units of the cell vectors:
Rb1 0.000 0.500 0.248
Rb2 0.500 0.000 0.752
In1 0.000 0.500 0.875
In2 0.500 0.000 0.125
In3 0.500 0.500 0.500
Sn1 0.000 0.000 0.000
Sn2 0.000 0.500 0.629
Sn3 0.500 0.000 0.371
Sn4 0.500 0.500 0.000
Pb1 0.000 0.000 0.500

space-group type	P-4m2, No. 115
energy relative to the elements	-0.1455	eV/atom
raw total energy	-3.133	eV/atom
crystal system	tetragonal



# 14
First-principles (GGA-PBE) data for a relaxed structure of RbIn2SnPb2, as listed in Alexandria via LeMat-Bulk.

abc: 8.954 10.430 4.523
angles: 90.00 90.00 90.00
Sites, in units of the cell vectors:
Rb1 0.000 0.000 0.000
Rb2 0.500 0.500 0.500
In1 0.174 0.347 0.000
In2 0.326 0.847 0.500
In3 0.674 0.153 0.500
In4 0.826 0.653 0.000
Sn1 0.000 0.500 0.500
Sn2 0.500 0.000 0.000
Pb1 0.182 0.660 0.000
Pb2 0.318 0.160 0.500
Pb3 0.682 0.840 0.500
Pb4 0.818 0.340 0.000

space-group type	Pnnm, No. 58
energy relative to the elements	-0.0358	eV/atom
raw total energy	-3.013	eV/atom
crystal system	orthorhombic



# 15
First-principles (GGA-PBE) data for a relaxed structure of Rb2InSn2Pb6, as listed in Alexandria via LeMat-Bulk.

abc: 8.782 8.782 8.782
angles: 57.77 57.77 57.77
Sites, in units of the cell vectors:
Rb1 0.226 0.226 0.226
Rb2 0.774 0.774 0.774
In1 0.500 0.500 0.500
Sn1 0.067 0.067 0.067
Sn2 0.933 0.933 0.933
Pb1 0.244 0.244 0.639
Pb2 0.244 0.639 0.244
Pb3 0.361 0.756 0.756
Pb4 0.639 0.244 0.244
Pb5 0.756 0.361 0.756
Pb6 0.756 0.756 0.361

space-group type	R-3m, No. 166
energy relative to the elements	0.0566	eV/atom
raw total energy	-3.119	eV/atom
crystal system	trigonal



# 16
First-principles (GGA-PBE) data for a relaxed structure of RbIn2Sn2Pb, as listed in Alexandria via LeMat-Bulk.

abc: 5.235 5.235 8.582
angles: 90.00 90.00 120.00
Sites, in units of the cell vectors:
Rb1 0.000 0.000 0.000
In1 0.333 0.667 0.662
In2 0.667 0.333 0.338
Sn1 0.333 0.667 0.281
Sn2 0.667 0.333 0.719
Pb1 0.000 0.000 0.500

space-group type	P-3m1, No. 164
energy relative to the elements	-0.0684	eV/atom
raw total energy	-3.095	eV/atom
crystal system	trigonal



# 17
First-principles (GGA-PBE) data for a relaxed structure of RbInSnPb2, as listed in Alexandria via LeMat-Bulk.

abc: 5.047 5.047 14.306
angles: 90.00 90.00 90.00
Sites, in units of the cell vectors:
Rb1 0.000 0.000 0.000
Rb2 0.500 0.500 0.500
In1 0.000 0.500 0.250
In2 0.500 0.000 0.750
Sn1 0.000 0.500 0.750
Sn2 0.500 0.000 0.250
Pb1 0.000 0.000 0.381
Pb2 0.000 0.000 0.619
Pb3 0.500 0.500 0.119
Pb4 0.500 0.500 0.881

space-group type	I-4m2, No. 119
energy relative to the elements	-0.0990	eV/atom
raw total energy	-3.124	eV/atom
crystal system	tetragonal



# 18
First-principles (GGA-PBE) data for a relaxed structure of Rb2In3SnPb4, as listed in Alexandria via LeMat-Bulk.

abc: 5.414 5.414 12.254
angles: 90.00 90.00 90.00
Sites, in units of the cell vectors:
Rb1 0.000 0.500 0.247
Rb2 0.500 0.000 0.753
In1 0.000 0.000 0.000
In2 0.000 0.500 0.628
In3 0.500 0.000 0.372
Sn1 0.500 0.500 0.000
Pb1 0.000 0.000 0.500
Pb2 0.000 0.500 0.874
Pb3 0.500 0.000 0.126
Pb4 0.500 0.500 0.500

space-group type	P-4m2, No. 115
energy relative to the elements	-0.0899	eV/atom
raw total energy	-2.989	eV/atom
crystal system	tetragonal



# 19
First-principles (GGA-PBE) data for a relaxed structure of Rb2In4Sn3Pb, as listed in Alexandria via LeMat-Bulk.

abc: 5.289 5.289 12.028
angles: 90.00 90.00 90.00
Sites, in units of the cell vectors:
Rb1 0.000 0.500 0.248
Rb2 0.500 0.000 0.752
In1 0.000 0.000 0.000
In2 0.000 0.500 0.631
In3 0.500 0.000 0.369
In4 0.500 0.500 0.000
Sn1 0.000 0.500 0.874
Sn2 0.500 0.000 0.126
Sn3 0.500 0.500 0.500
Pb1 0.000 0.000 0.500

space-group type	P-4m2, No. 115
energy relative to the elements	-0.1530	eV/atom
raw total energy	-3.014	eV/atom
crystal system	tetragonal



# 20
First-principles (GGA-PBE) data for a relaxed structure of Rb2InSn4Pb3, as listed in Alexandria via LeMat-Bulk.

abc: 5.212 5.212 13.410
angles: 90.00 90.00 90.00
Sites, in units of the cell vectors:
Rb1 0.000 0.500 0.247
Rb2 0.500 0.000 0.753
In1 0.500 0.500 0.000
Sn1 0.000 0.000 0.500
Sn2 0.000 0.500 0.873
Sn3 0.500 0.000 0.127
Sn4 0.500 0.500 0.500
Pb1 0.000 0.000 0.000
Pb2 0.000 0.500 0.632
Pb3 0.500 0.000 0.368

space-group type	P-4m2, No. 115
energy relative to the elements	-0.1030	eV/atom
raw total energy	-3.284	eV/atom
crystal system	tetragonal



no.,magnetic moment (μB per formula unit)
1,0.00
2,0.00
3,0.00
4,0.00
5,0.00
6,0.00
7,0.00
8,0.00
9,1.39
10,0.00
11,2.37
12,0.00
13,0.00
14,0.00
15,0.00
16,0.00
17,0.00
18,0.00
19,0.00
20,0.00